Compound: K2ReBr4O2
Source: the Alexandria database
Functional: PBE-GGA
Structure: optimized geometry

For the uncorrected energy, the calculation gives -4.694 eV per atom. The density of states at the Fermi level is 0.01 states/eV/atom. The uncorrected formation energy is -1.22 eV per atom.

The structure belongs to space group C2/m (No. 12); the cell edges are 11.922, 7.474 and 7.318 Å and the angles 90.00°, 124.42° and 90.00°. The asymmetric unit holds K at (0.247, 0.000, 0.190), Re at (0.000, 0.500, 0.000), Br at (0.041, 0.257, 0.280) and O at (0.176, 0.500, 0.101).

Compound: TaTi3C2
Source: the Alexandria database
Functional: PBE-GGA
Structure: optimized geometry

For the uncorrected energy, the calculation gives -9.600 eV per atom. Its formation energy is -58.16 kJ/mol of atoms. The density of states at the Fermi level is 0.70 states/eV/atom.

The structure belongs to space group R-3m (No. 166, hexagonal axes); the cell edges are 6.2113, 6.2113 and 14.5182 Å and the angles 90.00°, 90.00° and 120.00°. The asymmetric unit holds Ta at (0.0000, 0.0000, 0.2462), Ti at (0.0037, 0.5019, 0.2464), C at (0.0000, 0.0000, 0.5000) and C at (0.0000, 0.5000, 0.5000).

Compound: NbNi2GeH
Source: the Alexandria database
Functional: PBE-GGA
Structure: optimized geometry

For the uncorrected energy, the calculation gives -6.152 eV per atom. The density of states at the Fermi level is 0.41 states/eV/atom. The value obtained for the energy above the most stable polymorph in this dataset is 0 meV per atom.

The structure belongs to space group P4/mmm (No. 123); the cell edges are 3.708, 3.708 and 4.141 Å and the angles 90.00°, 90.00° and 90.00°. The asymmetric unit holds Nb at (0.000, 0.000, 0.000), Ni at (0.000, 0.500, 0.500), Ge at (0.500, 0.500, 0.000) and H at (0.000, 0.000, 0.500).

Compound: MgTe2PI
Source: the Alexandria database
Functional: PBE-GGA
Structure: optimized geometry

For the uncorrected energy, the calculation gives -2.368 eV per atom. The density of states at the Fermi level is 0.98 states/eV/atom. The uncorrected formation energy is 0.60 eV per atom. The value obtained for the energy above the most stable polymorph in this dataset is 357 meV per atom.

The structure belongs to space group P4/mmm (No. 123); the cell edges are 5.561, 5.561 and 5.443 Å and the angles 90.00°, 90.00° and 90.00°. The asymmetric unit holds Mg at (0.000, 0.000, 0.000), Te at (0.000, 0.500, 0.000), P at (0.500, 0.500, 0.500) and I at (0.000, 0.000, 0.500).

Compound: Mg2CrHg
Source: the Alexandria database
Functional: PBE-GGA
Structure: optimized geometry

For the uncorrected energy, the calculation gives -2.975 eV per atom. Its formation energy is 29.26 kJ/mol of atoms. The density of states at the Fermi level is 0.74 states/eV/atom.

The structure belongs to space group R-3m (No. 166, hexagonal axes); the cell edges are 3.1780, 3.1780 and 28.6740 Å and the angles 90.00°, 90.00° and 120.00°. The asymmetric unit holds Mg at (0.0000, 0.0000, 0.2465), Cr at (0.0000, 0.0000, 0.5000) and Hg at (0.0000, 0.0000, 0.0000).

Compound: CsHfBe2Re
Source: the Alexandria database
Functional: PBE-GGA
Structure: optimized geometry

For the uncorrected energy, the calculation gives -5.103 eV per atom. Its formation energy is 100.25 kJ/mol of atoms. The density of states at the Fermi level is 0.90 states/eV/atom.

The structure belongs to space group P4/mmm (No. 123); the cell edges are 4.845, 4.845 and 4.924 Å and the angles 90.00°, 90.00° and 90.00°. The asymmetric unit holds Cs at (0.000, 0.000, 0.000), Hf at (0.500, 0.500, 0.000), Be at (0.000, 0.500, 0.500) and Re at (0.500, 0.500, 0.500).

Compound: SrCd2SiPd2
Source: the Alexandria database
Functional: PBE-GGA
Structure: optimized geometry

For the uncorrected energy, the calculation gives -3.684 eV per atom. The density of states at the Fermi level is 0.17 states/eV/atom. The uncorrected formation energy is -0.46 eV per atom.

The structure belongs to space group P4/mmm (No. 123); the cell edges are 4.678, 4.678 and 6.234 Å and the angles 90.00°, 90.00° and 90.00°. The asymmetric unit holds Sr at (0.000, 0.000, 0.000), Cd at (0.500, 0.500, 0.233), Si at (0.000, 0.000, 0.500) and Pd at (0.000, 0.500, 0.500).

Compound: TcSnSe2
Source: the Alexandria database
Functional: PBE-GGA
Structure: optimized geometry

For the uncorrected energy, the calculation gives -4.766 eV per atom. The density of states at the Fermi level is 0.93 states/eV/atom. The uncorrected formation energy is 0.57 eV per atom.

The structure belongs to space group R-3m (No. 166, hexagonal axes); the cell edges are 3.6618, 3.6618 and 25.2407 Å and the angles 90.00°, 90.00° and 120.00°. The asymmetric unit holds Tc at (0.0000, 0.0000, 0.0000), Sn at (0.0000, 0.0000, 0.5000) and Se at (0.0000, 0.0000, 0.0932).

Compound: Nd7DyHo2
Source: the Alexandria database
Functional: PBE-GGA
Structure: optimized geometry

For the uncorrected energy, the calculation gives -4.073 eV per atom. Its formation energy is 61.76 kJ/mol of atoms. The density of states at the Fermi level is 1.53 states/eV/atom.

The structure belongs to space group Cmmm (No. 65); the cell edges are 8.866, 16.587 and 5.644 Å and the angles 90.00°, 90.00° and 90.00°. The asymmetric unit holds Nd at (0.000, 0.000, 0.000), Nd at (0.000, 0.283, 0.500), Nd at (0.179, 0.387, 0.000), Dy at (0.000, 0.500, 0.500) and Ho at (0.000, 0.205, 0.000).

Compound: Fe2WSe
Source: the Alexandria database
Functional: PBE-GGA
Structure: optimized geometry

For the uncorrected energy, the calculation gives -8.059 eV per atom. The density of states at the Fermi level is 1.15 states/eV/atom. The uncorrected formation energy is 0.28 eV per atom.

The structure belongs to space group Amm2 (No. 38); the cell edges are 3.372, 2.970 and 10.935 Å and the angles 90.00°, 90.00° and 90.00°. The asymmetric unit holds Fe at (0.000, 0.000, 0.000), Fe at (0.500, 0.000, 0.362), W at (0.000, 0.000, 0.751) and Se at (0.500, 0.000, 0.571).